Compound: Sc2CoAs
Source: Alexandria via LeMat-Bulk
Functional: PBE
Structure: relaxed

Properties
The calculation puts the formation enthalpy at 0 K at -233 kJ/mol of formula units. The density comes out at 5.3 g/cm³. The value obtained for the total energy is -6.708 eV per atom.

Unit cell a=5.7801 b=5.7801 c=5.7801 alpha=146.67 beta=138.50 gamma=54.23
Fractional coordinates of all 4 atoms:
Co 0.2730 0.7730 0.5000
As 0.4481 0.4481 0.0000
Sc 0.0265 0.0265 0.0000
Sc 0.7523 0.2523 0.5000



Compound: In2MoAuCl
Source: Alexandria via LeMat-Bulk
Functional: PBE
Structure: relaxed

Properties
The density comes out at 6.3 g/cm³. The value obtained for the total energy is -3.742 eV per atom.

Unit cell a=5.4833 b=4.9049 c=5.4833 alpha=90.00 beta=90.00 gamma=90.00
Last column: magnetic moment on the atom in μB.
Fractional coordinates of all 5 atoms:
Mo 0.0000 0.0000 0.0000  0.68
In 0.5000 0.0000 0.0000  0.01
Au 0.0000 0.5000 0.0000  0.01
Cl 0.5000 0.5000 0.5000  0.04
In 0.0000 0.0000 0.5000  0.01



Compound: SrBPd2Pt
Source: Alexandria via LeMat-Bulk
Functional: PBE
Structure: relaxed

Properties
The calculation puts the formation enthalpy at 0 K at -249 kJ/mol of formula units. The density comes out at 9.9 g/cm³. The value obtained for the total energy is -5.473 eV per atom.

Unit cell a=4.4567 b=4.4567 c=4.2723 alpha=90.00 beta=90.00 gamma=90.00
Fractional coordinates of all 5 atoms:
Pd 0.5000 0.0000 0.0000
Sr 0.5000 0.5000 0.5000
Pt 0.0000 0.0000 0.5000
B 0.0000 0.0000 0.0000
Pd 0.0000 0.5000 0.0000



Compound: Ho2ScPt
Source: Alexandria via LeMat-Bulk
Functional: PBE
Structure: relaxed

Properties
The calculation puts the formation enthalpy at 0 K at -87 kJ/mol of formula units. For the offset from the most stable computed form, the calculation gives 1.43 eV per formula unit. The density comes out at 8.4 g/cm³. The value obtained for the total energy is -5.608 eV per atom.

Unit cell a=3.5654 b=3.5654 c=10.4685 alpha=80.20 beta=80.20 gamma=60.00
Last column: magnetic moment on the atom in μB.
Fractional coordinates of all 4 atoms:
Ho 0.8948 0.8948 0.3155  0.01
Ho 0.1052 0.1052 0.6845  0.01
Pt 0.5000 0.5000 0.5000  0.01
Sc 0.0000 0.0000 0.0000  0.25



Compound: Ba2Li2Sn
Source: Alexandria via LeMat-Bulk
Functional: PBE
Structure: relaxed

Properties
The calculation puts the formation enthalpy at 0 K at -155 kJ/mol of formula units. For the offset from the most stable computed form, the calculation gives 0.05 eV per formula unit. The density comes out at 3.6 g/cm³. The value obtained for the total energy is -2.657 eV per atom.

Unit cell a=5.1307 b=6.8464 c=11.7432 alpha=87.65 beta=77.38 gamma=67.99
Fractional coordinates of all 10 atoms:
Sn 0.6011 0.1387 0.6592
Li 0.1404 0.1738 0.5453
Ba 0.6817 0.2920 0.3447
Ba 0.0832 0.7038 0.1299
Li 0.6045 0.9180 0.8729
Sn 0.3989 0.8613 0.3408
Ba 0.3183 0.7080 0.6553
Ba 0.9168 0.2962 0.8701
Li 0.8596 0.8262 0.4547
Li 0.3955 0.0820 0.1271



Compound: AcLuBi
Source: Alexandria via LeMat-Bulk
Functional: PBE
Structure: relaxed

Properties
The calculation puts the formation enthalpy at 0 K at -121 kJ/mol of formula units. For the offset from the most stable computed form, the calculation gives 0.00 eV per formula unit. The density comes out at 9.8 g/cm³. The value obtained for the total energy is -4.588 eV per atom.

Unit cell a=4.1176 b=4.1176 c=6.7559 alpha=107.74 beta=107.74 gamma=90.00
Last column: magnetic moment on the atom in μB.
Fractional coordinates of all 3 atoms:
Bi 0.3071 0.3071 0.6143  0.00
Ac 0.6218 0.6218 0.2436  0.18
Lu 0.9211 0.9211 0.8422  0.28



Compound: Na2NpIrO5
Source: Alexandria via LeMat-Bulk
Functional: PBE
Structure: relaxed

Properties
The density comes out at 8.5 g/cm³. The value obtained for the total energy is -6.799 eV per atom.

Unit cell a=5.9532 b=6.0338 c=6.0338 alpha=90.00 beta=90.00 gamma=90.00
Last column: magnetic moment on the atom in μB.
Fractional coordinates of all 18 atoms:
Ir 0.0000 0.5000 0.0000  -0.03
Na 0.5000 0.1597 0.3403  0.00
Na 0.5000 0.6597 0.1597  0.00
O 0.7947 0.8248 0.3248  -0.05
O 0.5000 0.0000 0.0000  0.33
O 0.5000 0.5000 0.5000  0.33
Na 0.5000 0.8403 0.6597  0.00
O 0.2053 0.1752 0.6752  -0.05
O 0.7947 0.6752 0.8248  -0.05
O 0.2053 0.8248 0.3248  -0.05
O 0.2053 0.3248 0.1752  -0.05
O 0.7947 0.3248 0.1752  -0.05
O 0.2053 0.6752 0.8248  -0.05
O 0.7947 0.1752 0.6752  -0.05
Np 0.0000 0.0000 0.0000  2.91
Na 0.5000 0.3403 0.8403  0.00
Np 0.0000 0.5000 0.5000  2.91
Ir 0.0000 0.0000 0.5000  -0.03



Compound: Ce4Pb2S
Source: Alexandria via LeMat-Bulk
Functional: PBE
Structure: relaxed

Properties
The density comes out at 7.5 g/cm³. The value obtained for the total energy is -5.713 eV per atom.

Unit cell a=5.2096 b=5.2096 c=9.0519 alpha=106.72 beta=106.72 gamma=90.00
Last column: magnetic moment on the atom in μB.
Fractional coordinates of all 7 atoms:
Ce 0.1679 0.1679 0.3358  0.92
Ce 0.5000 0.0000 0.0000  0.38
S 0.0000 0.0000 0.0000  -0.02
Pb 0.3651 0.3651 0.7302  -0.02
Ce 0.0000 0.5000 0.0000  0.38
Pb 0.6349 0.6349 0.2698  -0.02
Ce 0.8321 0.8321 0.6642  0.92



Compound: CaPuCuHg
Source: Alexandria via LeMat-Bulk
Functional: PBE
Structure: relaxed

Properties
The calculation puts the formation enthalpy at 0 K at -22 kJ/mol of formula units. The density comes out at 9.2 g/cm³. The value obtained for the total energy is -5.239 eV per atom.

Unit cell a=5.1961 b=5.1961 c=5.1961 alpha=60.00 beta=60.00 gamma=60.00
Last column: magnetic moment on the atom in μB.
Fractional coordinates of all 4 atoms:
Cu 0.5000 0.5000 0.5000  0.01
Pu 0.2500 0.2500 0.2500  5.41
Hg 0.0000 0.0000 0.0000  0.04
Ca 0.7500 0.7500 0.7500  0.02



Compound: UNbAs2N
Source: Alexandria via LeMat-Bulk
Functional: PBE
Structure: relaxed

Properties
The density comes out at 9.5 g/cm³. The value obtained for the total energy is -8.635 eV per atom.

Unit cell a=3.6829 b=3.6829 c=12.7736 alpha=90.00 beta=90.00 gamma=90.00
Last column: magnetic moment on the atom in μB.
Fractional coordinates of all 10 atoms:
As 0.0000 0.5000 0.7107  -0.03
N 0.5000 0.5000 0.5000  -0.04
U 0.5000 0.0000 0.5974  0.63
As 0.5000 0.0000 0.2893  -0.03
Nb 0.0000 0.5000 0.9247  -0.01
U 0.0000 0.5000 0.4026  0.63
As 0.0000 0.5000 0.1382  0.00
As 0.5000 0.0000 0.8618  0.00
Nb 0.5000 0.0000 0.0753  -0.01
N 0.0000 0.0000 0.5000  -0.04



Compound: NpNbSb2
Source: Alexandria via LeMat-Bulk
Functional: PBE
Structure: relaxed

Properties
For the offset from the most stable computed form, the calculation gives 0.00 eV per formula unit. The density comes out at 10.4 g/cm³. The value obtained for the total energy is -7.935 eV per atom.

Unit cell a=3.4583 b=3.4583 c=7.6509 alpha=90.00 beta=90.00 gamma=90.00
Last column: magnetic moment on the atom in μB.
Fractional coordinates of all 4 atoms:
Np 0.5000 0.5000 0.5000  4.26
Nb 0.5000 0.5000 0.0000  -0.05
Sb 0.0000 0.0000 0.2169  -0.02
Sb 0.0000 0.0000 0.7831  -0.02



Compound: Sn2PdRh
Source: Alexandria via LeMat-Bulk
Functional: PBE
Structure: relaxed

Properties
The calculation puts the formation enthalpy at 0 K at 17 kJ/mol of formula units. For the offset from the most stable computed form, the calculation gives 1.54 eV per formula unit. The density comes out at 7.1 g/cm³. The value obtained for the total energy is -5.093 eV per atom.

Unit cell a=6.3491 b=6.3491 c=6.8764 alpha=62.51 beta=62.51 gamma=90.00
Fractional coordinates of all 8 atoms:
Sn 0.6166 0.1250 0.2500
Sn 0.1334 0.6250 0.2500
Pd 0.0000 0.0000 0.0000
Sn 0.8750 0.8666 0.7500
Rh 0.2500 0.7500 0.5000
Pd 0.7500 0.2500 0.5000
Rh 0.5000 0.5000 0.0000
Sn 0.3750 0.3834 0.7500



Which of these has the highest density? NpNbSb2



Number 11 is which compound? NpNbSb2